No. 1
# In3CuBr, relaxed, DFT GGA-PBE
# Excess energy over the best structure of this formula in the dataset: 0.746 eV/atom
data_In3CuBr
_symmetry_space_group_name_H-M 'P m -3 m'
_symmetry_Int_Tables_number 221
_symmetry_space_group_name_Hall '-P 4 2 3'
_cell_length_a 5.960
_cell_length_b 5.960
_cell_length_c 5.960
_cell_angle_alpha 90.00
_cell_angle_beta 90.00
_cell_angle_gamma 90.00
loop_
_atom_site_label
_atom_site_fract_x
_atom_site_fract_y
_atom_site_fract_z
In1 0.000 0.000 0.500
Cu1 0.500 0.500 0.500
Br1 0.000 0.000 0.000

No. 2
The following is a DFT calculation (GGA-PBE) of a relaxed structure of MnBeSi2.

Geometry as CIF:
```
data_MnBeSi2
_symmetry_space_group_name_H-M 'F -4 3 m'
_symmetry_Int_Tables_number 216
_symmetry_space_group_name_Hall 'F -4 2 3'
_cell_length_a 5.591
_cell_length_b 5.591
_cell_length_c 5.591
_cell_angle_alpha 90.00
_cell_angle_beta 90.00
_cell_angle_gamma 90.00
loop_
_atom_site_label
_atom_site_fract_x
_atom_site_fract_y
_atom_site_fract_z
Mn1 0.000 0.000 0.000
Be1 0.250 0.250 0.750
Si1 0.000 0.000 0.500
Si2 0.250 0.250 0.250
```

No. 3
The following is a DFT calculation (GGA-PBE) of a relaxed structure of Rb4U3CrN8.

Geometry as CIF:
```
data_Rb4U3CrN8
_symmetry_space_group_name_H-M 'R -3 m'
_symmetry_Int_Tables_number 166
_symmetry_space_group_name_Hall '-R 3 2"'
_cell_length_a 6.9136
_cell_length_b 6.9136
_cell_length_c 19.9942
_cell_angle_alpha 90.00
_cell_angle_beta 90.00
_cell_angle_gamma 120.00
loop_
_atom_site_label
_atom_site_fract_x
_atom_site_fract_y
_atom_site_fract_z
Rb1 0.0000 0.0000 0.0000
Rb2 0.0000 0.5000 0.0000
U1 0.0000 0.5000 0.5000
Cr1 0.0000 0.0000 0.5000
N1 0.0000 0.0000 0.2185
N2 0.0097 0.5049 0.7829
```

Asked for formation energy (no corrections) across the records above, the calculation gives 604; 320; -725 meV per atom in order.